1.
Material: Na2BiPSe
Method: DFT, PBE
State: relaxed

a = 6.058 Å, b = 5.118 Å, c = 6.058 Å
α = 90.00°, β = 90.00°, γ = 90.00°
Fractional positions:
Se 0.500 0.500 0.500
Na 0.000 0.000 0.500
Bi 0.000 0.000 0.000
P 0.000 0.500 0.000
Na 0.500 0.000 0.000

Output
Its formation energy without anion corrections is 1.7 eV/f.u. Its density of states at the Fermi level is 1.454 states/eV per atom.

***

2.
Material: Pr7TmPb4
Method: DFT, PBE
State: relaxed

a = 6.024 Å, b = 9.715 Å, c = 7.926 Å
α = 78.18°, β = 67.66°, γ = 71.94°
Fractional positions:
Pr 0.302 0.624 0.772
Pb 0.701 0.671 0.926
Tm 0.000 0.000 0.000
Pb 0.299 0.329 0.074
Pb 0.437 0.759 0.368
Pr 0.946 0.370 0.738
Pr 0.698 0.376 0.228
Pr 0.793 0.893 0.522
Pr 0.207 0.107 0.478
Pb 0.563 0.241 0.632
Pr 0.054 0.630 0.262
Pr 0.500 0.000 0.000

Output
Its density of states at the Fermi level is 0.884 states/eV per atom. As for the energy of formation: -0.170 eV per atom.

***

3.
Material: CdPS2N
Method: DFT, PBE
State: relaxed

a = 4.825 Å, b = 4.825 Å, c = 3.527 Å
α = 90.00°, β = 90.00°, γ = 90.00°
Fractional positions:
S 0.000 0.500 0.000
Cd 0.500 0.500 0.500
P 0.000 0.000 0.500
N 0.000 0.000 0.000
S 0.500 0.000 0.000

Output
Its formation energy without anion corrections is 4.4 eV/f.u. Its density of states at the Fermi level is 0.227 states/eV per atom.

***

| no. | energy (eV/atom) |
| --- | --- |
| 1 | -2.735 |
| 2 | -4.566 |
| 3 | -3.710 |